[1]
Material: Ca3PbAu4
Method: DFT, PBE
State: optimized geometry

Unit cell a=8.9001 b=8.9001 c=8.9001 alpha=33.44 beta=33.44 gamma=33.44
Closest atoms and distances in Å follow each position.
Atoms (fractional coordinates):
Ca 0.0000 0.0000 0.0000  8 Au 3.03-3.09
Ca 0.2446 0.2446 0.2446  8 Au 3.06-3.25
Ca 0.7554 0.7554 0.7554  8 Au 3.06-3.25
Pb 0.5000 0.5000 0.5000  8 Au 3.18-3.30, 6 Ca 3.55
Au 0.1205 0.1205 0.1205  5 Ca 3.03-3.13, 3 Pb 3.18
Au 0.3688 0.3688 0.3688  7 Ca 3.09-3.25, 1 Pb 3.30, 3 Au 3.46
Au 0.6312 0.6312 0.6312  7 Ca 3.09-3.25, 1 Pb 3.30, 3 Au 3.46
Au 0.8795 0.8795 0.8795  5 Ca 3.03-3.13, 3 Pb 3.18

Properties
The symmetry is R-3m, No. 166. The relative energy among the computed polymorphs is 0 meV/atom. For the total moment, the calculation gives 0.000 μB/cell. For the uncorrected energy, the calculation gives -3.534 eV per atom.


[2]
Material: Cr3Ir12Ru
Method: DFT, PBE
State: optimized geometry

Unit cell a=3.8335 b=3.8335 c=15.3445 alpha=90.00 beta=90.00 gamma=90.00
Closest atoms and distances in Å follow each position.
Atoms (fractional coordinates):
Cr 0.0000 0.0000 0.0000  12 Ir 2.71
Cr 0.0000 0.0000 0.2470  12 Ir 2.68-2.73
Cr 0.0000 0.0000 0.7530  12 Ir 2.68-2.73
Ir 0.0000 0.5000 0.1247  4 Cr 2.68-2.71, 8 Ir 2.71
Ir 0.0000 0.5000 0.3737  8 Ir 2.70-2.73, 2 Ru 2.73, 2 Cr 2.73
Ir 0.0000 0.5000 0.6263  8 Ir 2.70-2.73, 2 Ru 2.73, 2 Cr 2.73
Ir 0.0000 0.5000 0.8753  4 Cr 2.68-2.71, 8 Ir 2.71
Ir 0.5000 0.0000 0.1247  4 Cr 2.68-2.71, 8 Ir 2.71
Ir 0.5000 0.0000 0.3737  8 Ir 2.70-2.73, 2 Ru 2.73, 2 Cr 2.73
Ir 0.5000 0.0000 0.6263  8 Ir 2.70-2.73, 2 Ru 2.73, 2 Cr 2.73
Ir 0.5000 0.0000 0.8753  4 Cr 2.68-2.71, 8 Ir 2.71
Ir 0.5000 0.5000 0.0000  8 Ir 2.71, 4 Cr 2.71
Ir 0.5000 0.5000 0.2495  8 Ir 2.70-2.71, 4 Cr 2.71
Ir 0.5000 0.5000 0.5000  4 Ru 2.71, 8 Ir 2.73
Ir 0.5000 0.5000 0.7505  8 Ir 2.70-2.71, 4 Cr 2.71
Ru 0.0000 0.0000 0.5000  12 Ir 2.71-2.73

Properties
The symmetry is P4/mmm, No. 123. For the total moment, the calculation gives 4.470 μB/cell. For the uncorrected energy, the calculation gives -9.197 eV per atom.


[3]
Material: MgAlTc2Pb
Method: DFT, PBE
State: optimized geometry

Unit cell a=4.7355 b=4.7355 c=4.6711 alpha=90.00 beta=90.00 gamma=90.00
Closest atoms and distances in Å follow each position.
Atoms (fractional coordinates):
Mg 0.0000 0.0000 0.0000  2 Al 2.34, 4 Tc 2.37
Al 0.0000 0.0000 0.5000  2 Mg 2.34
Tc 0.0000 0.5000 0.0000  2 Mg 2.37
Tc 0.5000 0.0000 0.0000  2 Mg 2.37
Pb 0.5000 0.5000 0.5000  8 Tc 3.33, 4 Al 3.35

Properties
The symmetry is P4/mmm, No. 123. For the total moment, the calculation gives 2.843 μB/cell. For the uncorrected energy, the calculation gives -4.485 eV per atom.


[4]
Material: PWSe2
Method: DFT, PBE
State: optimized geometry

Unit cell a=4.5207 b=4.5207 c=4.5207 alpha=60.00 beta=60.00 gamma=60.00
Closest atoms and distances in Å follow each position.
Atoms (fractional coordinates):
P 0.0000 0.0000 0.0000  4 Se 2.77, 4 W 2.77
W 0.2500 0.2500 0.2500  4 Se 2.77, 4 P 2.77
Se 0.5000 0.5000 0.5000  4 Se 2.77, 4 W 2.77
Se 0.7500 0.7500 0.7500  4 Se 2.77, 4 P 2.77

Properties
The symmetry is F-43m, No. 216. As for the uncorrected formation energy: 682 meV per atom. For the total moment, the calculation gives 0.000 μB/cell. For the uncorrected energy, the calculation gives -5.651 eV per atom.